1.
The following is a DFT calculation (PBE) of a geometry-optimized PmNdTm2 structure.

Cell: 8.490 3.630 8.500 Å, 90.00 95.03 90.00°
Positions (direct):
Pm1 0.165 0.250 0.084
Pm2 0.835 0.750 0.916
Nd1 0.334 0.750 0.415
Nd2 0.666 0.250 0.585
Tm1 0.084 0.250 0.667
Tm2 0.416 0.750 0.834
Tm3 0.584 0.250 0.166
Tm4 0.916 0.750 0.333

Total DFT energy (no corrections): -36.71 eV/cell
Spin magnetization: 0.000 μB per formula unit
SG: No. 11
E_form: 0.026 eV/atom
E above lowest polymorph: 4 kJ/mol of formula units

2.
The following is a DFT calculation (PBE) of a geometry-optimized PmNd7Tm12 structure.

Cell: 9.717 9.717 9.717 Å, 109.47 109.47 109.47°
Positions (direct):
Pm1 0.000 0.000 0.000
Nd1 0.000 0.000 0.500
Nd2 0.000 0.500 0.000
Nd3 0.000 0.500 0.500
Nd4 0.500 0.000 0.000
Nd5 0.500 0.000 0.500
Nd6 0.500 0.500 0.000
Nd7 0.500 0.500 0.500
Tm1 0.000 0.249 0.751
Tm2 0.000 0.751 0.249
Tm3 0.249 0.000 0.751
Tm4 0.249 0.249 0.499
Tm5 0.249 0.499 0.249
Tm6 0.249 0.751 0.000
Tm7 0.499 0.249 0.249
Tm8 0.501 0.751 0.751
Tm9 0.751 0.000 0.249
Tm10 0.751 0.249 0.000
Tm11 0.751 0.501 0.751
Tm12 0.751 0.751 0.501

Total DFT energy (no corrections): -78.76 eV/cell
Spin magnetization: 0.000 μB per formula unit
SG: No. 229
E_form: 0.651 eV/atom
E above lowest polymorph: 812 kJ/mol of formula units

3.
The following is a DFT calculation (PBE) of a geometry-optimized Pm6Nd8Tm structure.

Cell: 8.346 8.346 8.346 Å, 73.24 73.24 73.24°
Positions (direct):
Pm1 0.110 0.581 0.782
Pm2 0.218 0.890 0.419
Pm3 0.419 0.218 0.890
Pm4 0.581 0.782 0.110
Pm5 0.782 0.110 0.581
Pm6 0.890 0.419 0.218
Nd1 0.086 0.086 0.086
Nd2 0.146 0.273 0.571
Nd3 0.273 0.571 0.146
Nd4 0.429 0.854 0.727
Nd5 0.571 0.146 0.273
Nd6 0.727 0.429 0.854
Nd7 0.854 0.727 0.429
Nd8 0.914 0.914 0.914
Tm1 0.500 0.500 0.500

Total DFT energy (no corrections): -68.79 eV/cell
Spin magnetization: 0.000 μB per formula unit
SG: No. 148
E_form: 0.155 eV/atom
E above lowest polymorph: 64 kJ/mol of formula units

4.
The following is a DFT calculation (PBE) of a geometry-optimized Pm4Nd3Tm structure.

Cell: 23.720 3.517 6.922 Å, 90.00 106.92 90.00°
Positions (direct):
Pm1 0.124 0.000 0.363
Pm2 0.242 0.500 0.244
Pm3 0.258 0.000 0.756
Pm4 0.376 0.500 0.637
Pm5 0.624 0.500 0.363
Pm6 0.742 0.000 0.244
Pm7 0.758 0.500 0.756
Pm8 0.876 0.000 0.637
Nd1 0.000 0.000 0.500
Nd2 0.124 0.000 0.885
Nd3 0.376 0.500 0.115
Nd4 0.500 0.500 0.500
Nd5 0.624 0.500 0.885
Nd6 0.876 0.000 0.115
Tm1 0.000 0.500 0.000
Tm2 0.500 0.000 0.000

Total DFT energy (no corrections): -73.14 eV/cell
Spin magnetization: 0.000 μB per formula unit
SG: No. 12
E_form: 0.151 eV/atom
E above lowest polymorph: 115 kJ/mol of formula units